Version P
{"formula": "CoSb2TeC", "functional": "GGA-PBE", "state": "optimized geometry", "lattice_angstrom": [[4.6536, 0.0000, 0.0000], [0.0000, 4.6536, 0.0000], [0.0000, 0.0000, 4.7165]], "species": ["Co", "Sb", "Sb", "Te", "C"], "frac_coords": [[0.5000, 0.5000, 0.5000], [0.5000, 0.0000, 0.0000], [0.0000, 0.5000, 0.0000], [0.0000, 0.0000, 0.5000], [0.0000, 0.0000, 0.0000]], "magmom_total_mub_per_cell": 1.3, "space_group": "No. 123", "volume_a3_per_cell": 102.14, "crystal_system": "tetragonal"}


Version Q
{"formula": "CoSb2TeC", "functional": "GGA-PBE", "state": "optimized geometry", "lattice_angstrom": [[-2.3533, -4.1564, 0.2429], [4.1627, -2.3437, 0.2267], [-0.0834, 0.3455, 5.1039]], "species": ["Sb", "Sb", "Te", "C", "Co"], "frac_coords": [[0.0000, 0.5000, 0.0000], [0.5000, 0.0000, 0.0000], [0.0000, 0.0000, 0.5000], [0.5000, 0.5000, 0.5000], [0.0000, 0.0000, 0.0000]], "magmom_total_mub_per_cell": 0.0, "space_group": "No. 123", "volume_a3_per_cell": 117.02, "crystal_system": "tetragonal"}


It is version P that is most stable; the runner-up trails by 291 meV per atom.


Version P
{"formula": "ScCoC", "functional": "GGA-PBE", "state": "optimized geometry", "lattice_angstrom": [[3.2490, 0.0000, 0.0000], [0.0000, 5.4311, -0.4047], [-1.6245, -0.9027, 4.2447]], "species": ["Co", "Co", "C", "C", "Sc", "Sc"], "frac_coords": [[0.3463, 0.1137, 0.6926], [0.6537, 0.8863, 0.3074], [0.7854, 0.2407, 0.5708], [0.2146, 0.7593, 0.4292], [0.1083, 0.3223, 0.2166], [0.8917, 0.6777, 0.7834]], "magmom_total_mub_per_cell": 0.0, "space_group": "No. 12", "volume_a3_per_cell": 73.71, "crystal_system": "monoclinic"}


Version Q
{"formula": "ScCoC", "functional": "GGA-PBE", "state": "optimized geometry", "lattice_angstrom": [[-2.2723, -1.8474, -0.8357], [0.4060, -1.9784, -2.2794], [0.8530, -4.4580, 1.9869]], "species": ["C", "Co", "Sc"], "frac_coords": [[0.1279, 0.1279, 0.6162], [0.5190, 0.5190, 0.4431], [0.3384, 0.3384, 0.9847]], "magmom_total_mub_per_cell": 0.0, "space_group": "No. 160", "volume_a3_per_cell": 37.21, "crystal_system": "trigonal"}


It is version P that is most stable; the runner-up trails by 419 meV per atom.


Version P
{"formula": "ScCoC3", "functional": "GGA-PBE", "state": "optimized geometry", "lattice_angstrom": [[-1.6253, 0.6268, 3.3173], [-3.1628, -1.5703, -1.2529], [1.1807, -3.3437, 1.2103]], "species": ["C", "C", "C", "Co", "Sc"], "frac_coords": [[0.0000, 0.0000, 0.5000], [0.5000, 0.0000, 0.0000], [0.0000, 0.5000, 0.0000], [0.0000, 0.0000, 0.0000], [0.5000, 0.5000, 0.5000]], "magmom_total_mub_per_cell": 0.0, "space_group": "No. 221", "volume_a3_per_cell": 52.60, "crystal_system": "cubic"}


Version Q
{"formula": "ScCoC3", "functional": "GGA-PBE", "state": "optimized geometry", "lattice_angstrom": [[-0.3476, -2.6368, 3.1141], [3.9772, 0.4800, 0.8504], [-0.9125, 3.0965, 2.5200]], "species": ["C", "C", "C", "Sc", "Co"], "frac_coords": [[0.5000, 0.0000, 0.0000], [0.0000, 0.0000, 0.5000], [0.0000, 0.5000, 0.0000], [0.0000, 0.0000, 0.0000], [0.5000, 0.5000, 0.5000]], "magmom_total_mub_per_cell": 0.0, "space_group": "No. 221", "volume_a3_per_cell": 68.68, "crystal_system": "cubic"}


It is version P that is most stable; the runner-up trails by 1499 meV per atom.


Version P
{"formula": "Sc2TaCoC", "functional": "GGA-PBE", "state": "optimized geometry", "lattice_angstrom": [[4.6825, 0.0000, 0.0000], [0.0000, 4.4715, 0.0000], [0.0000, 0.0000, 4.6825]], "species": ["Sc", "Sc", "Ta", "Co", "C"], "frac_coords": [[0.5000, 0.0000, 0.0000], [0.0000, 0.0000, 0.5000], [0.0000, 0.5000, 0.0000], [0.0000, 0.0000, 0.0000], [0.5000, 0.5000, 0.5000]], "magmom_total_mub_per_cell": 0.0, "space_group": "No. 123", "volume_a3_per_cell": 98.04, "crystal_system": "tetragonal"}


Version Q
{"formula": "Sc2TaCoC", "functional": "GGA-PBE", "state": "optimized geometry", "lattice_angstrom": [[-2.5934, 4.4362, -0.5602], [0.2396, -0.5089, -5.1384], [-3.4638, -2.0201, 0.0386]], "species": ["Ta", "Co", "C", "Sc", "Sc"], "frac_coords": [[0.0000, 0.0000, 0.0000], [0.5000, 0.5000, 0.5000], [0.0000, 0.0000, 0.5000], [0.0000, 0.5000, 0.0000], [0.5000, 0.0000, 0.0000]], "magmom_total_mub_per_cell": 0.1, "space_group": "No. 123", "volume_a3_per_cell": 107.14, "crystal_system": "tetragonal"}


It is version P that is most stable; the runner-up trails by 208 meV per atom.


Version P
{"formula": "Co2CSe", "functional": "GGA-PBE", "state": "optimized geometry", "lattice_angstrom": [[4.6026, 0.0000, 0.0000], [0.0000, 4.6026, 0.0000], [2.3013, 2.3013, 4.9761]], "species": ["C", "C", "Co", "Co", "Co", "Co", "Se", "Se"], "frac_coords": [[0.2500, 0.7500, 0.5000], [0.5000, 0.5000, 0.0000], [0.5356, 0.1250, 0.2500], [0.2144, 0.6250, 0.2500], [0.3750, 0.4644, 0.7500], [0.8750, 0.7856, 0.7500], [0.7500, 0.2500, 0.5000], [0.0000, 0.0000, 0.0000]], "magmom_total_mub_per_cell": 0.0, "space_group": "No. 122", "volume_a3_per_cell": 105.41, "crystal_system": "tetragonal"}


Version Q
{"formula": "Co2CSe", "functional": "GGA-PBE", "state": "optimized geometry", "lattice_angstrom": [[-3.9485, -0.3563, -0.1562], [-2.2344, 1.3627, 2.9821], [-2.2628, 3.2164, -0.5257]], "species": ["Co", "Co", "Se", "C"], "frac_coords": [[0.7500, 0.7500, 0.7500], [0.2500, 0.2500, 0.2500], [0.5000, 0.5000, 0.5000], [0.0000, 0.0000, 0.0000]], "magmom_total_mub_per_cell": 2.2, "space_group": "No. 225", "volume_a3_per_cell": 44.17, "crystal_system": "cubic"}


It is version P that is most stable; the runner-up trails by 778 meV per atom.


Version P
{"formula": "CoCSe3", "functional": "GGA-PBE", "state": "optimized geometry", "lattice_angstrom": [[4.5986, 0.0000, 0.0000], [0.0000, 4.5986, 0.0000], [0.0000, 0.0000, 4.5986]], "species": ["Se", "Se", "Se", "Co", "C"], "frac_coords": [[0.0000, 0.0000, 0.5000], [0.5000, 0.0000, 0.0000], [0.0000, 0.5000, 0.0000], [0.0000, 0.0000, 0.0000], [0.5000, 0.5000, 0.5000]], "magmom_total_mub_per_cell": 0.0, "space_group": "No. 221", "volume_a3_per_cell": 97.25, "crystal_system": "cubic"}


Version Q
{"formula": "CoCSe3", "functional": "GGA-PBE", "state": "optimized geometry", "lattice_angstrom": [[4.3552, 0.0000, 0.0000], [0.0000, 4.3552, 0.0000], [0.0000, 0.0000, 4.3552]], "species": ["Se", "Se", "Se", "Co", "C"], "frac_coords": [[0.0000, 0.0000, 0.5000], [0.0000, 0.5000, 0.0000], [0.5000, 0.0000, 0.0000], [0.5000, 0.5000, 0.5000], [0.0000, 0.0000, 0.0000]], "magmom_total_mub_per_cell": 2.4, "space_group": "No. 221", "volume_a3_per_cell": 82.61, "crystal_system": "cubic"}


It is version Q that is most stable; the runner-up trails by 333 meV per atom.


Version P
{"formula": "CoSi2C2", "functional": "GGA-PBE", "state": "optimized geometry", "lattice_angstrom": [[-2.0841, -0.1759, -5.7862], [-5.0445, -2.9616, 1.9070], [-1.3673, 2.5953, 0.4136]], "species": ["C", "C", "C", "C", "Co", "Co", "Si", "Si", "Si", "Si"], "frac_coords": [[0.7461, 0.7539, 0.5000], [0.2539, 0.2461, 0.5000], [0.7539, 0.2539, 0.5000], [0.2461, 0.7461, 0.5000], [0.5000, 0.5000, 0.0000], [0.0000, 0.0000, 0.0000], [0.8681, 0.6319, 0.0000], [0.3681, 0.8681, 0.0000], [0.6319, 0.1319, 0.0000], [0.1319, 0.3681, 0.0000]], "magmom_total_mub_per_cell": 2.0, "space_group": "No. 127", "volume_a3_per_cell": 112.14, "crystal_system": "tetragonal"}


Version Q
{"formula": "CoSi2C2", "functional": "GGA-PBE", "state": "optimized geometry", "lattice_angstrom": [[2.6563, 0.0000, 0.0000], [0.0000, 2.6563, 0.0000], [1.3282, 1.3282, 6.3555]], "species": ["C", "C", "Si", "Si", "Co"], "frac_coords": [[0.7500, 0.2500, 0.5000], [0.2500, 0.7500, 0.5000], [0.3774, 0.3774, 0.2451], [0.6226, 0.6226, 0.7549], [0.0000, 0.0000, 0.0000]], "magmom_total_mub_per_cell": 0.0, "space_group": "No. 139", "volume_a3_per_cell": 44.85, "crystal_system": "tetragonal"}


It is version Q that is most stable; the runner-up trails by 205 meV per atom.


Version P
{"formula": "CoSiC3", "functional": "GGA-PBE", "state": "optimized geometry", "lattice_angstrom": [[3.7528, 0.0000, 0.0000], [0.0000, 3.7528, 0.0000], [0.0000, 0.0000, 3.7528]], "species": ["C", "C", "C", "Co", "Si"], "frac_coords": [[0.5000, 0.0000, 0.0000], [0.0000, 0.0000, 0.5000], [0.0000, 0.5000, 0.0000], [0.0000, 0.0000, 0.0000], [0.5000, 0.5000, 0.5000]], "magmom_total_mub_per_cell": 0.0, "space_group": "No. 221", "volume_a3_per_cell": 52.85, "crystal_system": "cubic"}


Version Q
{"formula": "CoSiC3", "functional": "GGA-PBE", "state": "optimized geometry", "lattice_angstrom": [[-3.2411, -1.4176, 1.0550], [1.2763, -3.4022, -0.6505], [1.2221, -0.2064, 3.4772]], "species": ["Si", "Co", "C", "C", "C"], "frac_coords": [[0.0000, 0.0000, 0.0000], [0.5000, 0.5000, 0.5000], [0.0000, 0.0000, 0.5000], [0.0000, 0.5000, 0.0000], [0.5000, 0.0000, 0.0000]], "magmom_total_mub_per_cell": 0.0, "space_group": "No. 221", "volume_a3_per_cell": 50.30, "crystal_system": "cubic"}


It is version Q that is most stable; the runner-up trails by 39 meV per atom.


Version P
{"formula": "Sm2CoC", "functional": "GGA-PBE", "state": "optimized geometry", "lattice_angstrom": [[-0.0252, -0.6416, -3.5193], [1.3904, -3.0400, -1.2739], [-6.6881, -4.7878, -0.8975]], "species": ["Sm", "Sm", "C", "Co"], "frac_coords": [[0.1081, 0.1081, 0.6758], [0.8919, 0.8919, 0.3242], [0.5000, 0.5000, 0.5000], [0.0000, 0.0000, 0.0000]], "magmom_total_mub_per_cell": 0.8, "space_group": "No. 166", "volume_a3_per_cell": 88.80, "crystal_system": "trigonal"}


Version Q
{"formula": "Sm2CoC", "functional": "GGA-PBE", "state": "optimized geometry", "lattice_angstrom": [[-0.4052, -2.9950, -2.0315], [6.7680, 0.8686, -2.6305], [0.9394, -2.4407, 6.6747]], "species": ["Sm", "Sm", "Sm", "Sm", "Co", "Co", "C", "C"], "frac_coords": [[0.8744, 0.9366, 0.7458], [0.1256, 0.0634, 0.2542], [0.1286, 0.5634, 0.2542], [0.8714, 0.4366, 0.7458], [0.4998, 0.2500, 0.0000], [0.5002, 0.7500, 0.0000], [0.0003, 0.7500, 0.0000], [0.9997, 0.2500, 0.0000]], "magmom_total_mub_per_cell": 0.0, "space_group": "No. 15", "volume_a3_per_cell": 178.17, "crystal_system": "monoclinic"}


It is version Q that is most stable; the runner-up trails by 665 meV per atom.


Version P
{"formula": "CoSnC3", "functional": "GGA-PBE", "state": "optimized geometry", "lattice_angstrom": [[4.1874, 0.0000, 0.0000], [0.0000, 4.1874, 0.0000], [0.0000, 0.0000, 4.1874]], "species": ["C", "C", "C", "Sn", "Co"], "frac_coords": [[0.0000, 0.0000, 0.5000], [0.0000, 0.5000, 0.0000], [0.5000, 0.0000, 0.0000], [0.0000, 0.0000, 0.0000], [0.5000, 0.5000, 0.5000]], "magmom_total_mub_per_cell": 0.0, "space_group": "No. 221", "volume_a3_per_cell": 73.42, "crystal_system": "cubic"}


Version Q
{"formula": "CoSnC3", "functional": "GGA-PBE", "state": "optimized geometry", "lattice_angstrom": [[-1.7833, -2.9087, 1.8152], [3.1793, -2.1688, -0.3518], [1.2835, 1.3310, 3.3936]], "species": ["C", "C", "C", "Co", "Sn"], "frac_coords": [[0.5000, 0.0000, 0.0000], [0.0000, 0.5000, 0.0000], [0.0000, 0.0000, 0.5000], [0.0000, 0.0000, 0.0000], [0.5000, 0.5000, 0.5000]], "magmom_total_mub_per_cell": 0.0, "space_group": "No. 221", "volume_a3_per_cell": 57.72, "crystal_system": "cubic"}


It is version Q that is most stable; the runner-up trails by 1351 meV per atom.


Version P
{"formula": "Co2SnC", "functional": "GGA-PBE", "state": "optimized geometry", "lattice_angstrom": [[-2.2197, 3.6569, -2.7796], [-4.1482, -2.9217, -0.5312], [-4.9159, 2.1490, 2.0714]], "species": ["Co", "Co", "Co", "Co", "C", "C", "Sn", "Sn"], "frac_coords": [[0.4965, 0.1250, 0.2500], [0.3750, 0.5035, 0.7500], [0.8750, 0.7465, 0.7500], [0.2535, 0.6250, 0.2500], [0.2500, 0.7500, 0.5000], [0.5000, 0.5000, 0.0000], [0.0000, 0.0000, 0.0000], [0.7500, 0.2500, 0.5000]], "magmom_total_mub_per_cell": 0.0, "space_group": "No. 122", "volume_a3_per_cell": 116.57, "crystal_system": "tetragonal"}


Version Q
{"formula": "Co2SnC", "functional": "GGA-PBE", "state": "optimized geometry", "lattice_angstrom": [[0.0000, 2.9079, 2.9079], [2.9079, 0.0000, 2.9079], [2.9079, 2.9079, 0.0000]], "species": ["Co", "Co", "C", "Sn"], "frac_coords": [[0.7500, 0.7500, 0.7500], [0.2500, 0.2500, 0.2500], [0.0000, 0.0000, 0.0000], [0.5000, 0.5000, 0.5000]], "magmom_total_mub_per_cell": 1.6, "space_group": "No. 225", "volume_a3_per_cell": 49.18, "crystal_system": "cubic"}


It is version P that is most stable; the runner-up trails by 797 meV per atom.


Version P
{"formula": "CoSn3C", "functional": "GGA-PBE", "state": "optimized geometry", "lattice_angstrom": [[4.8366, 0.0000, 0.0000], [0.0000, 4.8366, 0.0000], [0.0000, 0.0000, 4.8366]], "species": ["Sn", "Sn", "Sn", "C", "Co"], "frac_coords": [[0.0000, 0.5000, 0.0000], [0.0000, 0.0000, 0.5000], [0.5000, 0.0000, 0.0000], [0.5000, 0.5000, 0.5000], [0.0000, 0.0000, 0.0000]], "magmom_total_mub_per_cell": 1.0, "space_group": "No. 221", "volume_a3_per_cell": 113.14, "crystal_system": "cubic"}


Version Q
{"formula": "CoSn3C", "functional": "GGA-PBE", "state": "optimized geometry", "lattice_angstrom": [[-3.2269, 3.3348, 0.5213], [-2.6284, -2.0302, -3.2826], [-2.1177, -2.5618, 3.2800]], "species": ["Sn", "Sn", "Sn", "C", "Co"], "frac_coords": [[0.0000, 0.5000, 0.0000], [0.5000, 0.0000, 0.0000], [0.0000, 0.0000, 0.5000], [0.0000, 0.0000, 0.0000], [0.5000, 0.5000, 0.5000]], "magmom_total_mub_per_cell": 1.4, "space_group": "No. 221", "volume_a3_per_cell": 101.83, "crystal_system": "cubic"}


It is version Q that is most stable; the runner-up trails by 20 meV per atom.